Here is a relaxed structure of Dy3P5S12 from Alexandria via LeMat-Bulk. Energies are from GGA-PBE.

The structure in CIF format:
```
data_Dy3P5S12
_chemical_formula_sum 'Dy24 P40 S96'
_cell_length_a 15.054
_cell_length_b 15.054
_cell_length_c 15.054
_cell_angle_alpha 90.00
_cell_angle_beta 90.00
_cell_angle_gamma 90.00
_space_group_name_H-M_alt 'I a -3 d'
_space_group_IT_number 230
_space_group_name_Hall '-I 4bd 2c 3'
loop_
_atom_site_label
_atom_site_type_symbol
_atom_site_fract_x
_atom_site_fract_y
_atom_site_fract_z
_atom_site_occupancy
Dy1 Dy 0.000 0.250 0.125 1
P1 P 0.000 0.000 0.000 1
P2 P 0.000 0.250 0.375 1
S1 S 0.025 0.057 0.650 1
```

Summary:
**D(E_F)**: 0.2931 states/eV per atom
**Formation energy without anion corrections**: -583 meV per atom

=====

Here is a relaxed structure of Y3HoCd2 from Alexandria via LeMat-Bulk. Energies are from GGA-PBE.

The structure in CIF format:
```
data_Y3HoCd2
_chemical_formula_sum 'Y6 Ho2 Cd4'
_cell_length_a 5.232
_cell_length_b 9.433
_cell_length_c 6.894
_cell_angle_alpha 90.00
_cell_angle_beta 90.00
_cell_angle_gamma 90.00
_space_group_name_H-M_alt 'P m c 21'
_space_group_IT_number 26
_space_group_name_Hall 'P 2c -2'
loop_
_atom_site_label
_atom_site_type_symbol
_atom_site_fract_x
_atom_site_fract_y
_atom_site_fract_z
_atom_site_occupancy
Y1 Y 0.000 0.045 0.000 1
Y2 Y 0.000 0.324 0.340 1
Y3 Y 0.500 0.179 0.698 1
Ho1 Ho 0.500 0.454 0.038 1
Cd1 Cd 0.000 0.350 0.795 1
Cd2 Cd 0.500 0.149 0.244 1
```

Summary:
**D(E_F)**: 0.7179 states/eV per atom
**Formation energy from the elements**: -0.23 eV/atom
**Polymorph energy (0 for the lowest one)**: 0 meV/atom

=====

Here is a relaxed structure of La3TbPmPr from Alexandria via LeMat-Bulk. Energies are from GGA-PBE.

The structure in CIF format:
```
data_La3TbPmPr
_chemical_formula_sum 'La12 Tb4 Pm4 Pr4'
_cell_length_a 21.065
_cell_length_b 5.923
_cell_length_c 6.890
_cell_angle_alpha 90.00
_cell_angle_beta 90.67
_cell_angle_gamma 90.00
_space_group_name_H-M_alt 'C 1 2/m 1'
_space_group_IT_number 12
_space_group_name_Hall '-C 2y'
loop_
_atom_site_label
_atom_site_type_symbol
_atom_site_fract_x
_atom_site_fract_y
_atom_site_fract_z
_atom_site_occupancy
La1 La 0.017 0.000 0.253 1
La2 La 0.159 0.500 0.257 1
La3 La 0.220 0.500 0.771 1
Tb1 Tb 0.142 0.000 0.981 1
Pm1 Pm 0.059 0.500 0.763 1
Pr1 Pr 0.147 0.000 0.526 1
```

Summary:
**D(E_F)**: 1.3889 states/eV per atom
**Formation energy from the elements**: 0.14 eV/atom

=====

Here is a relaxed structure of MgAg2Cl4 from Alexandria via LeMat-Bulk. Energies are from GGA-PBE.

The structure in CIF format:
```
data_MgAg2Cl4
_chemical_formula_sum 'Mg2 Ag4 Cl8'
_cell_length_a 12.761
_cell_length_b 3.870
_cell_length_c 7.164
_cell_angle_alpha 90.00
_cell_angle_beta 106.83
_cell_angle_gamma 90.00
_space_group_name_H-M_alt 'C 1 2/m 1'
_space_group_IT_number 12
_space_group_name_Hall '-C 2y'
loop_
_atom_site_label
_atom_site_type_symbol
_atom_site_fract_x
_atom_site_fract_y
_atom_site_fract_z
_atom_site_occupancy
Mg1 Mg 0.000 0.000 0.000 1
Ag1 Ag 0.125 0.500 0.576 1
Cl1 Cl 0.109 0.500 0.914 1
Cl2 Cl 0.131 0.000 0.338 1
```

Summary:
**D(E_F)**: 0.0000 states/eV per atom
**Formation energy without anion corrections**: -1022 meV per atom
**Polymorph energy (0 for the lowest one)**: 16 meV/atom

=====

So what do the calculations give for calculated volume? Going down the list: 21.324; 28.349; 35.818; 24.185 Å³/atom.
So what do the calculations give for spin magnetization? Going down the list: 0.0; 0.0; 0.0; 0.0 μB/f.u..